# 1
Density functional theory data (PBE) for a relaxed structure of Mn5PdPt4.

Cell: 3.249 3.249 14.250 Å, 90.00 90.00 90.00°
Atoms (fractional coordinates):
Mn 0.000 0.000 0.000
Mn 0.000 0.000 0.199
Mn 0.000 0.000 0.396
Mn 0.000 0.000 0.604
Mn 0.000 0.000 0.801
Pd 0.500 0.500 0.500
Pt 0.500 0.500 0.099
Pt 0.500 0.500 0.299
Pt 0.500 0.500 0.701
Pt 0.500 0.500 0.901

Summary:
Uncorrected energy: -78.8 eV for the cell shown
Formation energy from the elements: -362 meV/atom
Symmetry: P4/mmm, No. 123

---

# 2
Density functional theory data (PBE) for a relaxed structure of MnPd3Pt4.

Cell: 8.443 8.443 8.443 Å, 153.17 153.17 38.30°
Atoms (fractional coordinates):
Mn 0.000 0.000 0.000
Pd 0.252 0.252 0.000
Pd 0.500 0.500 0.000
Pd 0.748 0.748 0.000
Pt 0.122 0.622 0.500
Pt 0.378 0.878 0.500
Pt 0.622 0.122 0.500
Pt 0.878 0.378 0.500

Summary:
Uncorrected energy: -50.4 eV for the cell shown
Formation energy from the elements: -189 meV/atom
Symmetry: I4/mmm, No. 139